Computed, not measured: La3Zn5Pd12 after structural relaxation at the GGA-PBE level of DFT.

volume	1809.8	Å³ per cell
magnetization	0.0	μB per formula unit
energy relative to the elements	-2.6	kcal/mol of atoms
SG	Ia-3d, No. 230
crystal system	cubic

Cell: 13.2969 13.2969 13.2969 Å, 109.47 109.47 109.47°
With the nearest neighbours (Å) after each atom.
Element x y z (fractional)
Pd: 0.3700 0.4216 0.0847  2 Zn 2.49-2.53
Pd: 0.1631 0.0847 0.7146  2 Zn 2.49-2.53
Pd: 0.6300 0.0516 0.2146  2 Zn 2.49-2.53
Pd: 0.2146 0.5516 0.6300  2 Zn 2.49-2.53
Pd: 0.9484 0.5784 0.1631  2 Zn 2.49-2.53
Pd: 0.2146 0.6631 0.0847  2 Zn 2.49-2.53
Pd: 0.5784 0.6300 0.4153  2 Zn 2.49-2.53
Pd: 0.0847 0.1631 0.2146  2 Zn 2.49-2.53
Pd: 0.4484 0.7854 0.8700  2 Zn 2.49-2.53
Pd: 0.0784 0.9153 0.1300  2 Zn 2.49-2.53
Pd: 0.0516 0.4216 0.8369  2 Zn 2.49-2.53
Pd: 0.2854 0.8700 0.9484  2 Zn 2.49-2.53
Pd: 0.7146 0.1300 0.0516  2 Zn 2.49-2.53
Pd: 0.6631 0.2146 0.5847  2 Zn 2.49-2.53
Pd: 0.1300 0.7146 0.5516  2 Zn 2.49-2.53
Pd: 0.5847 0.7146 0.6631  2 Zn 2.49-2.53
Pd: 0.3369 0.7854 0.4153  2 Zn 2.49-2.53
Pd: 0.2854 0.4153 0.8369  2 Zn 2.49-2.53
Pd: 0.9153 0.0784 0.6300  2 Zn 2.49-2.53
Pd: 0.8700 0.2854 0.4484  2 Zn 2.49-2.53
Pd: 0.9153 0.8369 0.7854  2 Zn 2.49-2.53
Pd: 0.0784 0.1631 0.4484  2 Zn 2.49-2.53
Pd: 0.7146 0.5847 0.1631  2 Zn 2.49-2.53
Pd: 0.8369 0.9153 0.2854  2 Zn 2.49-2.53
Pd: 0.1300 0.4153 0.0784  2 Zn 2.49-2.53
Pd: 0.3700 0.9484 0.7854  2 Zn 2.49-2.53
Pd: 0.9216 0.8369 0.5516  2 Zn 2.49-2.53
Pd: 0.0847 0.9216 0.3700  2 Zn 2.49-2.53
Pd: 0.3369 0.5516 0.4216  2 Zn 2.49-2.53
Pd: 0.9216 0.0847 0.8700  2 Zn 2.49-2.53
Pd: 0.8700 0.5847 0.9216  2 Zn 2.49-2.53
Pd: 0.5847 0.8700 0.4216  2 Zn 2.49-2.53
Pd: 0.7854 0.4484 0.3700  2 Zn 2.49-2.53
Pd: 0.4216 0.3700 0.5847  2 Zn 2.49-2.53
Pd: 0.6631 0.4484 0.5784  2 Zn 2.49-2.53
Pd: 0.4153 0.1300 0.5784  2 Zn 2.49-2.53
Pd: 0.4216 0.0516 0.3369  2 Zn 2.49-2.53
Pd: 0.4153 0.2854 0.3369  2 Zn 2.49-2.53
Pd: 0.8369 0.9216 0.0516  2 Zn 2.49-2.53
Pd: 0.0516 0.6300 0.7146  2 Zn 2.49-2.53
Pd: 0.7854 0.3369 0.9153  2 Zn 2.49-2.53
Pd: 0.1631 0.0784 0.9484  2 Zn 2.49-2.53
Pd: 0.4484 0.6631 0.0784  2 Zn 2.49-2.53
Pd: 0.9484 0.3700 0.2854  2 Zn 2.49-2.53
Pd: 0.5516 0.3369 0.9216  2 Zn 2.49-2.53
Pd: 0.5516 0.2146 0.1300  2 Zn 2.49-2.53
Pd: 0.5784 0.9484 0.6631  2 Zn 2.49-2.53
Pd: 0.6300 0.5784 0.9153  2 Zn 2.49-2.53
Zn: 0.2500 0.3750 0.6250  4 Pd 2.53
Zn: 0.0000 0.0000 0.5000  6 Pd 2.49
Zn: 0.5000 0.0000 0.5000  6 Pd 2.49
Zn: 0.3750 0.2500 0.1250  4 Pd 2.53
Zn: 0.5000 0.5000 0.0000  6 Pd 2.49
Zn: 0.1250 0.7500 0.3750  4 Pd 2.53
Zn: 0.0000 0.0000 0.0000  6 Pd 2.49
Zn: 0.8750 0.2500 0.6250  4 Pd 2.53
Zn: 0.7500 0.1250 0.8750  4 Pd 2.53
Zn: 0.6250 0.8750 0.2500  4 Pd 2.53
Zn: 0.0000 0.5000 0.5000  6 Pd 2.49
Zn: 0.0000 0.5000 0.0000  6 Pd 2.49
Zn: 0.6250 0.7500 0.8750  4 Pd 2.53
Zn: 0.2500 0.8750 0.1250  4 Pd 2.53
Zn: 0.5000 0.0000 0.0000  6 Pd 2.49
Zn: 0.1250 0.3750 0.2500  4 Pd 2.53
Zn: 0.3750 0.1250 0.7500  4 Pd 2.53
Zn: 0.5000 0.5000 0.5000  6 Pd 2.49
Zn: 0.7500 0.6250 0.3750  4 Pd 2.53
Zn: 0.8750 0.6250 0.7500  4 Pd 2.53
La: 0.6250 0.2500 0.3750  8 Pd 2.82-2.89
La: 0.3750 0.7500 0.6250  8 Pd 2.82-2.89
La: 0.7500 0.8750 0.6250  8 Pd 2.82-2.89
La: 0.1250 0.2500 0.8750  8 Pd 2.82-2.89
La: 0.8750 0.7500 0.1250  8 Pd 2.82-2.89
La: 0.6250 0.3750 0.7500  8 Pd 2.82-2.89
La: 0.8750 0.1250 0.2500  8 Pd 2.82-2.89
La: 0.3750 0.6250 0.2500  8 Pd 2.82-2.89
La: 0.2500 0.1250 0.3750  8 Pd 2.82-2.89
La: 0.7500 0.3750 0.1250  8 Pd 2.82-2.89
La: 0.2500 0.6250 0.8750  8 Pd 2.82-2.89
La: 0.1250 0.8750 0.7500  8 Pd 2.82-2.89